Computed, not measured: an optimized crystal structure of V2Ni2Pd at the PBE-GGA level of DFT.

```
V2Ni2Pd
1.0
3.707 0.000 0.000
0.000 3.707 0.000
1.853 1.853 5.038
Ni Pd V
2 1 2
Cartesian
1.853 1.853 1.085
3.707 3.707 3.953
0.000 0.000 0.000
3.707 1.853 2.519
1.853 3.707 2.519
```

Properties
The crystal system is tetragonal. As for the total magnetic moment: 0.000 μB per formula unit. As for the energy above the most stable polymorph in this dataset: 293 meV/atom. As for the space-group type: No. 139.

=====

Computed, not measured: an optimized crystal structure of LaSm2Y4Er2 at the PBE-GGA level of DFT.

```
LaSm2Y4Er2
1.0
5.079 0.000 0.000
-2.539 7.624 0.002
0.000 -2.547 7.616
La Sm Y Er
1 2 4 2
Cartesian
0.000 0.000 0.000
2.539 5.074 2.546
0.000 0.002 5.072
2.539 2.534 5.089
0.000 2.542 2.529
2.539 0.003 2.544
0.000 5.073 5.074
0.000 5.045 0.002
2.539 0.031 7.616
```

Properties
The calculation puts the raw total energy at -49.1 eV per cell. The crystal system is monoclinic. As for the total magnetic moment: 0.003 μB per formula unit. As for the space-group type: No. 12.

=====

Among the records above, which one has the highest total magnetic moment?
LaSm2Y4Er2